VASP calculation (PBE with a Hubbard U) on a relaxed La2WO6 crystal.

a = 5.7580 Å, b = 16.6694 Å, c = 11.2522 Å
α = 90.00°, β = 90.00°, γ = 90.00°
Closest atoms and distances in Å follow each position.
Fractional coordinates of all 72 atoms:
La1 0.0632 0.2336 0.1371  6 O 2.36-2.58
La2 0.0632 0.2664 0.6371  6 O 2.36-2.58
La3 0.1009 0.0627 0.3626  7 O 2.38-2.59
La4 0.1009 0.4373 0.8626  7 O 2.38-2.59
La5 0.3991 0.5627 0.3626  7 O 2.38-2.59
La6 0.3991 0.9373 0.8626  7 O 2.38-2.59
La7 0.4368 0.7336 0.1371  6 O 2.36-2.58
La8 0.4368 0.7664 0.6371  6 O 2.36-2.58
La9 0.5632 0.2336 0.3629  6 O 2.36-2.58
La10 0.5632 0.2664 0.8629  6 O 2.36-2.58
La11 0.6009 0.0627 0.1374  7 O 2.38-2.59
La12 0.6009 0.4373 0.6374  7 O 2.38-2.59
La13 0.8991 0.5627 0.1374  7 O 2.38-2.59
La14 0.8991 0.9373 0.6374  7 O 2.38-2.59
La15 0.9368 0.7336 0.3629  6 O 2.36-2.58
La16 0.9368 0.7664 0.8629  6 O 2.36-2.58
W1 0.1053 0.1211 0.8726  4 O 1.85-1.98
W2 0.1053 0.3789 0.3726  4 O 1.85-1.98
W3 0.3947 0.6211 0.8726  4 O 1.85-1.98
W4 0.3947 0.8789 0.3726  4 O 1.85-1.98
W5 0.6053 0.1211 0.6274  4 O 1.85-1.98
W6 0.6053 0.3789 0.1274  4 O 1.85-1.98
W7 0.8947 0.6211 0.6274  4 O 1.85-1.98
W8 0.8947 0.8789 0.1274  4 O 1.85-1.98
O1 0.0724 0.0225 0.7919  1 W 1.89
O2 0.0724 0.4775 0.2919  1 W 1.89
O3 0.0939 0.6104 0.4994  1 W 1.85
O4 0.0939 0.8896 0.9994  1 W 1.85
O5 0.1298 0.5797 0.9523  1 W 1.90
O6 0.1298 0.9203 0.4523  1 W 1.90
O7 0.1570 0.6654 0.7357  2 W 2.08-2.19
O8 0.1570 0.8346 0.2357  2 W 2.08-2.19
O9 0.1608 0.2326 0.9252  1 W 1.98
O10 0.1608 0.2674 0.4252  1 W 1.98
O11 0.1718 0.6477 0.2349  4 La 2.36-2.44
O12 0.1718 0.8523 0.7349  4 La 2.36-2.44
O13 0.3282 0.1477 0.2349  4 La 2.36-2.44
O14 0.3282 0.3523 0.7349  4 La 2.36-2.44
O15 0.3392 0.7326 0.9252  1 W 1.98
O16 0.3392 0.7674 0.4252  1 W 1.98
O17 0.3430 0.1654 0.7357  2 W 2.08-2.19
O18 0.3430 0.3346 0.2357  2 W 2.08-2.19
O19 0.3702 0.0797 0.9523  1 W 1.90
O20 0.3702 0.4203 0.4523  1 W 1.90
O21 0.4061 0.1104 0.4994  1 W 1.85
O22 0.4061 0.3896 0.9994  1 W 1.85
O23 0.4276 0.5225 0.7919  1 W 1.89
O24 0.4276 0.9775 0.2919  1 W 1.89
O25 0.5724 0.0225 0.7081  1 W 1.89
O26 0.5724 0.4775 0.2081  1 W 1.89
O27 0.5939 0.6104 0.0006  1 W 1.85
O28 0.5939 0.8896 0.5006  1 W 1.85
O29 0.6298 0.5797 0.5477  1 W 1.90
O30 0.6298 0.9203 0.0477  1 W 1.90
O31 0.6570 0.6654 0.7643  2 W 2.08-2.19
O32 0.6570 0.8346 0.2643  2 W 2.08-2.19
O33 0.6608 0.2326 0.5748  1 W 1.98
O34 0.6608 0.2674 0.0748  1 W 1.98
O35 0.6718 0.6477 0.2651  4 La 2.36-2.44
O36 0.6718 0.8523 0.7651  4 La 2.36-2.44
O37 0.8282 0.1477 0.2651  4 La 2.36-2.44
O38 0.8282 0.3523 0.7651  4 La 2.36-2.44
O39 0.8392 0.7326 0.5748  1 W 1.98
O40 0.8392 0.7674 0.0748  1 W 1.98
O41 0.8430 0.1654 0.7643  2 W 2.08-2.19
O42 0.8430 0.3346 0.2643  2 W 2.08-2.19
O43 0.8702 0.0797 0.5477  1 W 1.90
O44 0.8702 0.4203 0.0477  1 W 1.90
O45 0.9061 0.1104 0.0006  1 W 1.85
O46 0.9061 0.3896 0.5006  1 W 1.85
O47 0.9276 0.5225 0.7081  1 W 1.89
O48 0.9276 0.9775 0.2081  1 W 1.89

## Properties
Calculated density (Mg/m³): 6.86
Final energy (eV per atom): -8.1636
Calculated volume (Å³ per atom): 15.0
Symmetry: Pbca, No. 61
Crystal system: orthorhombic